Record 1
Ho3Sn3Hg after structural relaxation, computed with PBE-GGA.

POSCAR file:
```
Ho3Sn3Hg
1.0
4.4392 0.0000 0.6687
2.1634 5.7444 0.7074
0.0735 0.5347 14.5815
Ho Sn Hg
6 6 2
Direct
0.5098 0.3543 0.6262 Ho
0.4902 0.6457 0.3738 Ho
0.2766 0.2218 0.2249 Ho
0.7234 0.7782 0.7751 Ho
0.3949 0.2860 0.9241 Ho
0.6051 0.7140 0.0759 Ho
0.8651 0.7294 0.5404 Sn
0.1349 0.2706 0.4596 Sn
0.1226 0.8291 0.9257 Sn
0.8774 0.1709 0.0743 Sn
0.0102 0.7580 0.2216 Sn
0.9898 0.2420 0.7784 Sn
0.7786 0.0742 0.3686 Hg
0.2214 0.9258 0.6314 Hg
```

Output
Space group: No. 12
DFT formation energy: -580 meV per atom
Energy: -4.30 eV per atom
Excess energy over the best structure of this formula in the dataset: 0.0 meV/atom
Calculated density: 9.4 g/cm³



Record 2
Ho2SnHg after structural relaxation, computed with PBE-GGA.

POSCAR file:
```
Ho2SnHg
1.0
4.1745 0.0000 -1.1930
0.0000 4.3968 0.0000
-0.5250 0.0000 6.0629
Ho Sn Hg
2 1 1
Direct
0.8057 0.5000 0.6113 Ho
0.0824 0.0000 0.1648 Ho
0.3589 0.0000 0.7177 Sn
0.5376 0.5000 0.0752 Hg
```

Output
Space group: No. 38
DFT formation energy: -578 meV per atom
Energy: -3.94 eV per atom
Calculated density: 9.9 g/cm³



Record 3
Ho4SnHg3 after structural relaxation, computed with PBE-GGA.

POSCAR file:
```
Ho4SnHg3
1.0
5.2603 0.0000 0.0000
0.0000 7.4191 0.0000
0.0000 0.0000 10.5179
Hg Ho Sn
6 8 2
Direct
0.0000 0.0000 0.0000 Hg
0.0000 0.0000 0.5000 Hg
0.4996 0.0000 0.7500 Hg
0.5004 0.0000 0.2500 Hg
0.4993 0.5000 0.7500 Hg
0.5007 0.5000 0.2500 Hg
0.5000 0.7519 0.0000 Ho
0.5000 0.7519 0.5000 Ho
0.5000 0.2481 0.0000 Ho
0.5000 0.2481 0.5000 Ho
0.9995 0.7519 0.7500 Ho
0.0005 0.7519 0.2500 Ho
0.0005 0.2481 0.2500 Ho
0.9995 0.2481 0.7500 Ho
0.0000 0.5000 0.0000 Sn
0.0000 0.5000 0.5000 Sn
```

Output
Space group: No. 123
DFT formation energy: -523 meV per atom
Energy: -3.43 eV per atom
Calculated density: 11.2 g/cm³



Record 4
HoSnHg2 after structural relaxation, computed with PBE-GGA.

POSCAR file:
```
HoSnHg2
1.0
4.8379 0.0000 0.0000
0.0000 4.4857 0.0000
0.0000 0.0000 4.4857
Hg Sn Ho
2 1 1
Direct
0.0000 0.0000 0.5000 Hg
0.0000 0.5000 0.0000 Hg
0.5000 0.0000 0.0000 Sn
0.5000 0.5000 0.5000 Ho
```

Output
Space group: No. 123
DFT formation energy: -395 meV per atom
Energy: -2.69 eV per atom
Calculated density: 11.7 g/cm³



Record 5
Ho3SnHg5 after structural relaxation, computed with PBE-GGA.

POSCAR file:
```
Ho3SnHg5
1.0
-2.1648 -1.4661 8.5591
1.8421 -6.8991 -5.3947
6.1339 0.3745 1.6156
Ho Sn Hg
6 2 10
Direct
0.3296 0.0000 0.2500 Ho
0.0000 0.3296 0.2500 Ho
0.6704 0.6704 0.2500 Ho
0.6704 0.0000 0.7500 Ho
0.0000 0.6704 0.7500 Ho
0.3296 0.3296 0.7500 Ho
0.0000 0.0000 0.0000 Sn
0.0000 0.0000 0.5000 Sn
0.6667 0.3333 0.0000 Hg
0.3333 0.6667 0.5000 Hg
0.3333 0.6667 0.0000 Hg
0.6667 0.3333 0.5000 Hg
0.6592 0.0000 0.2500 Hg
0.0000 0.6592 0.2500 Hg
0.3408 0.3408 0.2500 Hg
0.3408 0.0000 0.7500 Hg
0.0000 0.3408 0.7500 Hg
0.6592 0.6592 0.7500 Hg
```

Output
Space group: No. 193
DFT formation energy: -411 meV per atom
Energy: -2.55 eV per atom
Calculated density: 12.2 g/cm³



Record 6
Ho2SnHg5 after structural relaxation, computed with PBE-GGA.

POSCAR file:
```
Ho2SnHg5
1.0
4.4783 0.0000 0.0000
0.0000 6.5845 0.0000
0.0000 0.0000 13.1803
Ho Sn Hg
4 2 10
Direct
0.5000 0.2303 0.6204 Ho
0.5000 0.7697 0.3796 Ho
0.5000 0.2697 0.1204 Ho
0.5000 0.7303 0.8796 Ho
0.0000 0.0000 0.5000 Sn
0.0000 0.5000 0.0000 Sn
0.0000 0.0000 0.0000 Hg
0.0000 0.5000 0.5000 Hg
0.0000 0.4749 0.7494 Hg
0.0000 0.5251 0.2506 Hg
0.0000 0.0251 0.2494 Hg
0.0000 0.9749 0.7506 Hg
0.5000 0.2318 0.8701 Hg
0.5000 0.7682 0.1299 Hg
0.5000 0.2682 0.3701 Hg
0.5000 0.7318 0.6299 Hg
```

Output
Space group: No. 55
DFT formation energy: -355 meV per atom
Energy: -2.19 eV per atom
Calculated density: 12.4 g/cm³



Record 7
Ho6SnHg5 after structural relaxation, computed with PBE-GGA.

POSCAR file:
```
Ho6SnHg5
1.0
5.0524 0.0214 -1.4745
-1.0112 6.4742 -3.3714
-0.0861 0.5348 9.1067
Hg Ho Sn
5 6 1
Direct
0.6714 0.1714 0.3428 Hg
0.3336 0.3336 0.6672 Hg
0.0000 0.5000 0.0000 Hg
0.6664 0.6664 0.3328 Hg
0.3286 0.8286 0.6572 Hg
0.8327 0.5827 0.6654 Ho
0.8327 0.0828 0.6654 Ho
0.5000 0.7491 0.0000 Ho
0.5000 0.2509 0.0000 Ho
0.1673 0.9172 0.3346 Ho
0.1673 0.4173 0.3346 Ho
0.0000 0.0000 0.0000 Sn
```

Output
Space group: No. 71
DFT formation energy: -510 meV per atom
Energy: -3.26 eV per atom
Calculated density: 11.4 g/cm³



Record 8
Ho5SnHg after structural relaxation, computed with PBE-GGA.

POSCAR file:
```
Ho5SnHg
1.0
-5.6518 1.9942 -1.5973
-2.3547 -5.1050 2.6201
-0.0772 5.4392 9.2163
Ho Sn Hg
10 2 2
Direct
0.0331 0.6046 0.1611 Ho
0.2427 0.4482 0.4901 Ho
0.6046 0.0331 0.6611 Ho
0.8629 0.1371 0.2500 Ho
0.5518 0.7573 0.0099 Ho
0.4482 0.2427 0.9901 Ho
0.1371 0.8629 0.7500 Ho
0.3954 0.9669 0.3389 Ho
0.7573 0.5518 0.5099 Ho
0.9669 0.3954 0.8389 Ho
0.5117 0.4883 0.2500 Sn
0.4883 0.5117 0.7500 Sn
0.0000 0.0000 0.0000 Hg
0.0000 0.0000 0.5000 Hg
```

Output
Space group: No. 15
DFT formation energy: -215 meV per atom
Energy: -4.10 eV per atom
Calculated density: 9.3 g/cm³



Record 9
HoSnHg2 after structural relaxation, computed with PBE-GGA.

POSCAR file:
```
HoSnHg2
1.0
4.7756 0.0000 0.0000
2.3878 4.1358 0.0000
2.3878 1.3786 5.1906
Hg Sn Ho
2 1 1
Direct
0.7456 0.7456 0.7632 Hg
0.2544 0.2544 0.2368 Hg
0.0000 0.0000 0.0000 Sn
0.5000 0.5000 0.5000 Ho
```

Output
Space group: No. 166
DFT formation energy: -287 meV per atom
Energy: -2.58 eV per atom
Calculated density: 11.1 g/cm³



Record 10
HoSnHg2 after structural relaxation, computed with PBE-GGA.

POSCAR file:
```
HoSnHg2
1.0
-3.6342 -2.8517 -0.5956
0.7045 -4.4783 -1.0687
-0.8568 -3.7991 5.2057
Ho Sn Hg
1 1 2
Direct
0.6756 0.6756 0.9733 Ho
0.4875 0.4875 0.5376 Sn
0.0823 0.0823 0.7532 Hg
0.2547 0.2547 0.2358 Hg
```

Output
Space group: No. 160
DFT formation energy: -232 meV per atom
Energy: -2.53 eV per atom
Calculated density: 10.2 g/cm³



Record 11
Ho3Sn2Hg after structural relaxation, computed with PBE-GGA.

POSCAR file:
```
Ho3Sn2Hg
1.0
4.6313 0.0000 0.0000
0.0000 11.4966 0.0000
0.0000 0.0000 12.2684
Ho Sn Hg
12 8 4
Direct
0.2500 0.3769 0.0363 Ho
0.7500 0.6231 0.9637 Ho
0.7500 0.8769 0.4637 Ho
0.2500 0.1231 0.5363 Ho
0.2500 0.6845 0.2016 Ho
0.7500 0.3155 0.7984 Ho
0.7500 0.1845 0.2984 Ho
0.2500 0.8155 0.7016 Ho
0.2500 0.4255 0.3632 Ho
0.7500 0.5745 0.6368 Ho
0.7500 0.9255 0.1368 Ho
0.2500 0.0745 0.8632 Ho
0.2500 0.6750 0.4920 Sn
0.7500 0.3250 0.5080 Sn
0.7500 0.1750 0.0080 Sn
0.2500 0.8250 0.9920 Sn
0.2500 0.9683 0.3179 Sn
0.7500 0.0317 0.6821 Sn
0.7500 0.4683 0.1821 Sn
0.2500 0.5317 0.8179 Sn
0.2500 0.1507 0.1528 Hg
0.7500 0.8493 0.8472 Hg
0.7500 0.6507 0.3472 Hg
0.2500 0.3493 0.6528 Hg
```

Output
Space group: No. 62
DFT formation energy: -569 meV per atom
Energy: -4.24 eV per atom
Excess energy over the best structure of this formula in the dataset: 0.0 meV/atom
Calculated density: 9.5 g/cm³



Record 12
Ho2SnHg2 after structural relaxation, computed with PBE-GGA.

POSCAR file:
```
Ho2SnHg2
1.0
-5.6797 -1.7773 -5.4612
-3.0308 -5.3450 -5.2428
-4.9031 -3.6607 -0.3326
Ho Sn Hg
2 1 2
Direct
0.6952 0.6952 0.8215 Ho
0.3048 0.3048 0.1785 Ho
0.0000 0.0000 0.0000 Sn
0.3949 0.3949 0.5286 Hg
0.6051 0.6051 0.4714 Hg
```

Output
Space group: No. 12
DFT formation energy: -412 meV per atom
Energy: -3.16 eV per atom
Excess energy over the best structure of this formula in the dataset: 33.4 meV/atom
Calculated density: 10.3 g/cm³



Record 13
Ho4SnHg after structural relaxation, computed with PBE-GGA.

POSCAR file:
```
Ho4SnHg
1.0
6.0817 -0.0013 -0.0007
-0.0013 7.3333 0.5307
-3.0422 -2.3605 7.9702
Ho Sn Hg
8 2 2
Direct
0.5453 0.0597 0.8531 Ho
0.6924 0.4402 0.1469 Ho
0.4547 0.9403 0.1469 Ho
0.3076 0.5598 0.8531 Ho
0.9666 0.8894 0.7008 Ho
0.2659 0.6105 0.2991 Ho
0.0334 0.1106 0.2992 Ho
0.7341 0.3895 0.7009 Ho
0.8711 0.7500 0.9999 Sn
0.1289 0.2500 0.0001 Sn
0.5000 0.0000 0.5000 Hg
0.0000 0.5000 0.5000 Hg
```

Output
Space group: No. 15
DFT formation energy: -221 meV per atom
Energy: -3.99 eV per atom
Calculated density: 9.0 g/cm³



Record 14
Ho3SnHg after structural relaxation, computed with PBE-GGA.

POSCAR file:
```
Ho3SnHg
1.0
-3.2961 6.5313 -4.5170
-6.3805 -4.7239 -2.1714
-4.6021 2.1533 6.4750
Ho Sn Hg
12 4 4
Direct
0.5827 0.7980 0.0059 Ho
0.9173 0.9941 0.2020 Ho
0.4173 0.2020 0.9941 Ho
0.0827 0.0059 0.7980 Ho
0.8012 0.4231 0.0771 Ho
0.6988 0.9229 0.5769 Ho
0.1988 0.5769 0.9229 Ho
0.3012 0.0771 0.4231 Ho
0.5826 0.4955 0.7025 Ho
0.9174 0.2975 0.5045 Ho
0.4174 0.5045 0.2975 Ho
0.0826 0.7025 0.4955 Ho
0.2500 0.8516 0.1484 Sn
0.7500 0.1484 0.8516 Sn
0.2500 0.3527 0.6473 Sn
0.7500 0.6473 0.3527 Sn
0.8766 0.6897 0.8125 Hg
0.6234 0.1875 0.3103 Hg
0.1234 0.3103 0.1875 Hg
0.3766 0.8125 0.6897 Hg
```

Output
Space group: No. 15
DFT formation energy: -411 meV per atom
Energy: -4.02 eV per atom
Calculated density: 9.3 g/cm³



Record 15
HoSnHg2 after structural relaxation, computed with PBE-GGA.

POSCAR file:
```
HoSnHg2
1.0
3.9014 0.0000 0.0000
0.0000 3.9014 0.0000
0.0000 0.0000 6.6054
Hg Sn Ho
2 1 1
Direct
0.0000 0.0000 0.7508 Hg
0.0000 0.0000 0.2492 Hg
0.5000 0.5000 0.5000 Sn
0.5000 0.5000 0.0000 Ho
```

Output
Space group: No. 123
DFT formation energy: -268 meV per atom
Energy: -2.56 eV per atom
Calculated density: 11.3 g/cm³



Record 16
Ho2SnHg2 after structural relaxation, computed with PBE-GGA.

POSCAR file:
```
Ho2SnHg2
1.0
-3.9495 2.2031 0.0085
-4.7093 -3.8044 0.9430
-0.6225 3.4879 9.7480
Ho Sn Hg
4 2 4
Direct
0.6776 0.3213 0.3236 Ho
0.9174 0.2605 0.9046 Ho
0.3224 0.6787 0.6764 Ho
0.0826 0.7395 0.0954 Ho
0.5958 0.1172 0.6912 Sn
0.4042 0.8828 0.3088 Sn
0.0961 0.2644 0.5434 Hg
0.6595 0.7879 0.8930 Hg
0.9039 0.7356 0.4566 Hg
0.3405 0.2121 0.1070 Hg
```

Output
Space group: No. 12
DFT formation energy: -445 meV per atom
Energy: -3.20 eV per atom
Excess energy over the best structure of this formula in the dataset: 0.0 meV/atom
Calculated density: 10.9 g/cm³



Record 17
Ho4SnHg2 after structural relaxation, computed with PBE-GGA.

POSCAR file:
```
Ho4SnHg2
1.0
4.8997 0.0000 1.5308
2.2107 4.3726 1.5308
-0.1756 -0.1080 9.1688
Ho Sn Hg
4 1 2
Direct
0.8727 0.8727 0.3820 Ho
0.1273 0.1273 0.6180 Ho
0.6204 0.6204 0.1388 Ho
0.3796 0.3796 0.8612 Ho
0.0000 0.0000 0.0000 Sn
0.7572 0.7572 0.7285 Hg
0.2428 0.2428 0.2715 Hg
```

Output
Space group: No. 166
DFT formation energy: -347 meV per atom
Energy: -3.62 eV per atom
Calculated density: 9.9 g/cm³



Record 18
Ho3Sn3Hg after structural relaxation, computed with PBE-GGA.

POSCAR file:
```
Ho3Sn3Hg
1.0
-4.5566 2.8861 -2.8981
-6.0878 -5.3980 4.1959
2.5440 7.8986 3.8660
Ho Sn Hg
6 6 2
Direct
0.7500 0.6745 0.6344 Ho
0.7500 0.3656 0.0401 Ho
0.7500 0.9599 0.3255 Ho
0.2500 0.3255 0.3656 Ho
0.2500 0.6344 0.9599 Ho
0.2500 0.0401 0.6745 Ho
0.2500 0.6989 0.6649 Sn
0.2500 0.3351 0.0340 Sn
0.2500 0.9660 0.3011 Sn
0.7500 0.3011 0.3351 Sn
0.7500 0.6649 0.9660 Sn
0.7500 0.0340 0.6989 Sn
0.2500 0.6667 0.3333 Hg
0.7500 0.3333 0.6667 Hg
```

Output
Space group: No. 176
DFT formation energy: -340 meV per atom
Energy: -4.06 eV per atom
Excess energy over the best structure of this formula in the dataset: 240.4 meV/atom
Calculated density: 7.9 g/cm³



Record 19
Ho3Sn2Hg after structural relaxation, computed with PBE-GGA.

POSCAR file:
```
Ho3Sn2Hg
1.0
-2.0980 5.0413 3.0979
-4.7200 -3.5026 2.5033
6.9543 -3.4102 3.8978
Ho Sn Hg
6 4 2
Direct
0.6375 0.2500 0.0000 Ho
0.3625 0.7500 0.0000 Ho
0.2785 0.0977 0.3416 Ho
0.9369 0.4023 0.6584 Ho
0.0631 0.5977 0.3416 Ho
0.7215 0.9023 0.6584 Ho
0.5570 0.5551 0.3208 Sn
0.7638 0.0551 0.3208 Sn
0.2362 0.9449 0.6792 Sn
0.4430 0.4449 0.6792 Sn
0.8761 0.7500 0.0000 Hg
0.1239 0.2500 0.0000 Hg
```

Output
Space group: No. 15
DFT formation energy: -537 meV per atom
Energy: -4.21 eV per atom
Excess energy over the best structure of this formula in the dataset: 32.4 meV/atom
Calculated density: 9.8 g/cm³



Record 20
SrHoSnHg after structural relaxation, computed with PBE-GGA.

POSCAR file:
```
SrHoSnHg
1.0
-0.0316 4.5930 2.9719
-4.1126 0.9839 3.4710
0.8621 -0.2285 5.3976
Sr Hg Sn Ho
1 1 1 1
Direct
0.0000 0.0000 0.0000 Sr
0.7500 0.7500 0.7500 Hg
0.2500 0.2500 0.2500 Sn
0.5000 0.5000 0.5000 Ho
```

Output
Space group: No. 216
DFT formation energy: -514 meV per atom
Energy: -3.15 eV per atom
Calculated density: 8.2 g/cm³